1.
Below is an optimized crystal structure of PmHo2PaSe4, with properties calculated at the PBE level.

Values from the calculation:
Energy   -6.271 eV per atom
E_form (uncorrected)   -154.7 kJ/mol of atoms
Crystal system   monoclinic

Cell lengths 7.050, 4.034, 7.196 Å; angles 90.00, 108.70, 90.00 degrees
Space group P2/m (No. 10)
Asymmetric unit:
Pm (0.000, 0.000, 0.000)
Ho (0.000, 0.500, 0.500)
Ho (0.500, 0.000, 0.500)
Pa (0.500, 0.500, 0.000)
Se (0.250, 0.000, 0.742)
Se (0.257, 0.500, 0.260)

---

2.
Below is an optimized crystal structure of Ac5Ho2, with properties calculated at the PBE level.

Values from the calculation:
Energy   -4.077 eV per atom
Formation energy from the elements   16 kJ per mole of atoms
Crystal system   monoclinic

Cell lengths 15.778, 3.872, 12.491 Å; angles 90.00, 128.73, 90.00 degrees
Space group C2/m (No. 12)
Asymmetric unit:
Ac (0.000, 0.000, 0.000)
Ac (0.030, 0.500, 0.699)
Ac (0.229, 0.000, 0.616)
Ho (0.223, 0.500, 0.079)

---

3.
Below is an optimized crystal structure of NaEr2Ga6, with properties calculated at the PBE level.

Values from the calculation:
Energy   -3.592 eV per atom
Formation energy from the elements   -40 kJ per mole of atoms
Crystal system   hexagonal

Cell lengths 7.6556, 7.6556, 3.5775 Å; angles 90.00, 90.00, 120.00 degrees
Space group P6/mmm (No. 191)
Asymmetric unit:
Na (0.0000, 0.0000, 0.0000)
Er (0.3333, 0.6667, 0.0000)
Ga (0.0000, 0.3341, 0.5000)

---

4.
Below is an optimized crystal structure of SrInPd2, with properties calculated at the PBE level.

Values from the calculation:
Energy   -4.002 eV per atom
Formation energy from the elements   -29 kJ per mole of atoms
Crystal system   tetragonal

Cell lengths 5.101, 5.101, 18.077 Å; angles 90.00, 90.00, 90.00 degrees
Space group I-42d (No. 122)
Asymmetric unit:
Sr (0.000, 0.000, 0.000)
In (0.000, 0.000, 0.500)
Pd (0.062, 0.250, 0.625)

---

5.
Below is an optimized crystal structure of LaAl2Re, with properties calculated at the PBE level.

Values from the calculation:
Energy   -6.191 eV per atom
Formation energy from the elements   2 kJ per mole of atoms
Crystal system   monoclinic

Cell lengths 2.885, 4.190, 6.894 Å; angles 90.00, 101.40, 90.00 degrees
Space group Pm (No. 6)
Asymmetric unit:
La (0.000, 0.000, 0.000)
Al (0.248, 0.000, 0.454)
Al (0.352, 0.500, 0.689)
Re (0.692, 0.500, 0.345)

---

6.
Below is an optimized crystal structure of Ca2MnCo, with properties calculated at the PBE level.

Values from the calculation:
Energy   -4.576 eV per atom
Formation energy from the elements   48 kJ per mole of atoms
Crystal system   tetragonal

Cell lengths 10.469, 10.469, 4.350 Å; angles 90.00, 90.00, 90.00 degrees
Space group I-42d (No. 122)
Asymmetric unit:
Ca (0.073, 0.250, 0.125)
Mn (0.000, 0.000, 0.500)
Co (0.000, 0.000, 0.000)